(1)
Material: HgPW
Method: DFT, SCAN
State: single point on PBEsol structure

Unit cell a=3.169 b=4.654 c=15.077 alpha=90.00 beta=90.00 gamma=90.00
Sites, in units of the cell vectors:
Hg 0.000 0.000 0.000
Hg 0.000 0.500 0.500
Hg 0.500 0.000 0.500
Hg 0.500 0.500 0.000
P 0.000 0.000 0.287
P 0.000 0.500 0.787
P 0.500 0.000 0.787
P 0.500 0.500 0.287
W 0.000 0.000 0.669
W 0.000 0.500 0.169
W 0.500 0.000 0.169
W 0.500 0.500 0.669

Summary:
The value obtained for the formation energy is 0.53 eV/atom. As for the total energy: -586.59 eV/cell.


(2)
Material: Ca3HgO
Method: DFT, SCAN
State: single point on PBEsol structure

Unit cell a=4.789 b=4.789 c=4.789 alpha=90.00 beta=90.00 gamma=90.00
Sites, in units of the cell vectors:
Ca 0.000 0.000 0.500
Ca 0.000 0.500 0.000
Ca 0.500 0.000 0.000
Hg 0.500 0.500 0.500
O 0.000 0.000 0.000

Summary:
The value obtained for the uncorrected formation energy is -8.02 eV/f.u. As for the total energy: -111.41 eV/cell.


(3)
Material: NbSOF2
Method: DFT, SCAN
State: single point on PBEsol structure

Unit cell a=4.643 b=4.643 c=3.320 alpha=90.00 beta=90.00 gamma=90.00
Sites, in units of the cell vectors:
Nb 0.000 0.000 0.000
S 0.500 0.500 0.500
O 0.500 0.500 0.000
F 0.000 0.500 0.500
F 0.500 0.000 0.500

Summary:
The value obtained for the uncorrected formation energy is -0.72 eV/f.u. As for the total energy: -56.79 eV/cell.


(4)
Material: CaTeCl2
Method: DFT, SCAN
State: single point on PBEsol structure

Unit cell a=4.140 b=4.140 c=11.298 alpha=90.00 beta=90.00 gamma=90.00
Sites, in units of the cell vectors:
Ca 0.000 0.000 0.000
Ca 0.500 0.500 0.500
Te 0.000 0.500 0.750
Te 0.500 0.000 0.250
Cl 0.000 0.000 0.500
Cl 0.000 0.500 0.250
Cl 0.500 0.000 0.750
Cl 0.500 0.500 0.000

Summary:
The value obtained for the uncorrected formation energy is -5.02 eV/f.u. As for the total energy: -135.79 eV/cell.


(5)
Material: CeAsRh
Method: DFT, SCAN
State: single point on PBEsol structure

Unit cell a=4.249 b=4.249 c=7.423 alpha=90.00 beta=90.00 gamma=120.00
Sites, in units of the cell vectors:
Ce 0.000 0.000 0.000
Ce 0.000 0.000 0.500
As 0.333 0.667 0.250
As 0.667 0.333 0.750
Rh 0.333 0.667 0.750
Rh 0.667 0.333 0.250

Summary:
The value obtained for the formation energy is -1.27 eV/atom. As for the total energy: -204.68 eV/cell.


(6)
Material: ZnInPb2
Method: DFT, SCAN
State: single point on PBEsol structure

Unit cell a=3.375 b=3.375 c=8.858 alpha=90.00 beta=90.00 gamma=90.00
Sites, in units of the cell vectors:
Zn 0.000 0.000 0.000
In 0.000 0.000 0.500
Pb 0.500 0.500 0.219
Pb 0.500 0.500 0.781

Summary:
The value obtained for the formation energy is 0.15 eV/atom. As for the total energy: -197.88 eV/cell.


(7)
Material: BeHgRu
Method: DFT, SCAN
State: single point on PBEsol structure

Unit cell a=2.824 b=2.824 c=6.251 alpha=90.00 beta=90.00 gamma=120.00
Sites, in units of the cell vectors:
Be 0.000 0.000 0.000
Hg 0.333 0.667 0.647
Ru 0.667 0.333 0.261

Summary:
The value obtained for the formation energy is 0.36 eV/atom. As for the total energy: -106.27 eV/cell.


(8)
Material: TaBe2Sb
Method: DFT, SCAN
State: single point on PBEsol structure

Unit cell a=3.398 b=3.398 c=5.176 alpha=90.00 beta=90.00 gamma=90.00
Sites, in units of the cell vectors:
Ta 0.000 0.000 0.000
Be 0.000 0.000 0.523
Be 0.500 0.500 0.755
Sb 0.500 0.500 0.273

Summary:
The value obtained for the uncorrected formation energy is 1.25 eV/f.u. As for the total energy: -111.30 eV/cell.


(9)
Material: Ba4MgRh
Method: DFT, SCAN
State: single point on PBEsol structure

Unit cell a=6.831 b=6.831 c=6.831 alpha=60.00 beta=60.00 gamma=60.00
Sites, in units of the cell vectors:
Ba 0.124 0.124 0.124
Ba 0.124 0.124 0.629
Ba 0.124 0.629 0.124
Ba 0.629 0.124 0.124
Mg 0.500 0.500 0.500
Rh 0.750 0.750 0.750

Summary:
The value obtained for the formation energy is 0.79 eV/atom. As for the total energy: -192.20 eV/cell.


(10)
Material: Nb3PH
Method: DFT, SCAN
State: single point on PBEsol structure

Unit cell a=4.047 b=4.047 c=4.047 alpha=90.00 beta=90.00 gamma=90.00
Sites, in units of the cell vectors:
Nb 0.000 0.000 0.500
Nb 0.000 0.500 0.000
Nb 0.500 0.000 0.000
P 0.500 0.500 0.500
H 0.000 0.000 0.000

Summary:
As for the total energy: -114.53 eV/cell.


(11)
Material: La3IrW
Method: DFT, SCAN
State: single point on PBEsol structure

Unit cell a=5.287 b=5.287 c=5.287 alpha=90.00 beta=90.00 gamma=90.00
Sites, in units of the cell vectors:
La 0.000 0.000 0.500
La 0.000 0.500 0.000
La 0.500 0.000 0.000
Ir 0.500 0.500 0.500
W 0.000 0.000 0.000

Summary:
The value obtained for the formation energy is 0.73 eV/atom. As for the total energy: -266.45 eV/cell.


(12)
Material: Mg2CuWO6
Method: DFT, SCAN
State: single point on PBEsol structure

Unit cell a=5.006 b=5.189 c=5.361 alpha=63.18 beta=89.46 gamma=61.63
Sites, in units of the cell vectors:
Mg 0.000 0.000 0.000
Mg 0.482 0.006 0.495
Cu 0.264 0.442 0.861
W 0.777 0.420 0.384
O 0.058 0.257 0.172
O 0.170 0.241 0.673
O 0.414 0.524 0.163
O 0.556 0.535 0.658
O 0.721 0.851 0.212
O 0.866 0.968 0.654

Summary:
The value obtained for the uncorrected formation energy is -22.60 eV/f.u. As for the total energy: -154.82 eV/cell.